SrAuSN2 | PBE-GGA | optimized geometry

Geometry as CIF:
```
data_SrAuSN2
_chemical_formula_sum 'Sr1 Au1 S1 N2'
_space_group_name_H-M_alt 'P 4/m m m'
_space_group_IT_number 123
_space_group_name_Hall '-P 4 2'
_cell_length_a 4.7899
_cell_length_b 4.7899
_cell_length_c 5.9370
_cell_angle_alpha 90.00
_cell_angle_beta 90.00
_cell_angle_gamma 90.00
loop_
_atom_site_label
_atom_site_type_symbol
_atom_site_fract_x
_atom_site_fract_y
_atom_site_fract_z
Sr1 Sr 0.0000 0.0000 0.0000
Au1 Au 0.5000 0.5000 0.5000
S1 S 0.0000 0.0000 0.5000
N1 N 0.0000 0.5000 0.0000
```

DOS(E_F): 0.50 states/eV per atom
Calculated total energy: -3.491 eV/atom
Formation energy from raw total energies: 1.66 eV/atom
Excess energy over the best structure of this formula in the dataset: 0.972 eV per atom